# 1
Compound: Na3Cd8Sn3
Source: Alexandria
Functional: PBE
Structure: relaxed

Geometry as CIF:
```
data_Na3Cd8Sn3
_cell_length_a 9.3057
_cell_length_b 9.3057
_cell_length_c 9.3057
_cell_angle_alpha 149.68
_cell_angle_beta 109.41
_cell_angle_gamma 78.73
_symmetry_space_group_name_H-M 'P 1'
_symmetry_Int_Tables_number 1
loop_
_symmetry_equiv_pos_as_xyz
'x,y,z'
loop_
_atom_site_label
_atom_site_type_symbol
_atom_site_fract_x
_atom_site_fract_y
_atom_site_fract_z
Na1 Na 0.0000 0.0000 0.0000
Na2 Na 0.3046 0.3046 0.0000
Na3 Na 0.6954 0.6954 0.0000
Cd1 Cd 0.0382 0.6686 0.3696
Cd2 Cd 0.1414 0.8609 0.2805
Cd3 Cd 0.2990 0.6686 0.6304
Cd4 Cd 0.4196 0.1391 0.2805
Cd5 Cd 0.5804 0.8609 0.7195
Cd6 Cd 0.7010 0.3314 0.3696
Cd7 Cd 0.8586 0.1391 0.7195
Cd8 Cd 0.9618 0.3314 0.6304
Sn1 Sn 0.2926 0.5000 0.7926
Sn2 Sn 0.5000 0.0000 0.5000
Sn3 Sn 0.7074 0.5000 0.2074
```

Magnetic moment, μB/cell: 0.0
Energy relative to the elements, kJ per mole of atoms: -6
ΔE to the lowest computed polymorph, meV/atom: 0
DOS(E_F), states/eV/atom: 0.261
Calculated total energy, eV per atom: -1.728

***

# 2
Compound: NaCd2Sn3
Source: Alexandria
Functional: PBE
Structure: relaxed

Geometry as CIF:
```
data_NaCd2Sn3
_cell_length_a 7.1776
_cell_length_b 7.1776
_cell_length_c 4.7110
_cell_angle_alpha 90.00
_cell_angle_beta 90.00
_cell_angle_gamma 140.86
_symmetry_space_group_name_H-M 'P 1'
_symmetry_Int_Tables_number 1
loop_
_symmetry_equiv_pos_as_xyz
'x,y,z'
loop_
_atom_site_label
_atom_site_type_symbol
_atom_site_fract_x
_atom_site_fract_y
_atom_site_fract_z
Na1 Na 0.0000 0.0000 0.0000
Cd1 Cd 0.3315 0.6685 0.0000
Cd2 Cd 0.6685 0.3315 0.0000
Sn1 Sn 0.1668 0.8332 0.5000
Sn2 Sn 0.5000 0.5000 0.5000
Sn3 Sn 0.8332 0.1668 0.5000
```

Magnetic moment, μB/cell: 0.0
Energy relative to the elements, kJ per mole of atoms: -4
ΔE to the lowest computed polymorph, meV/atom: 4
DOS(E_F), states/eV/atom: 0.324
Calculated total energy, eV per atom: -2.566

***

# 3
Compound: Na3Cd2Sn3
Source: Alexandria
Functional: PBE
Structure: relaxed

Geometry as CIF:
```
data_Na3Cd2Sn3
_cell_length_a 6.5918
_cell_length_b 6.5918
_cell_length_c 15.2448
_cell_angle_alpha 90.00
_cell_angle_beta 90.00
_cell_angle_gamma 137.00
_symmetry_space_group_name_H-M 'P 1'
_symmetry_Int_Tables_number 1
loop_
_symmetry_equiv_pos_as_xyz
'x,y,z'
loop_
_atom_site_label
_atom_site_type_symbol
_atom_site_fract_x
_atom_site_fract_y
_atom_site_fract_z
Na1 Na 0.0705 0.9295 0.6149
Na2 Na 0.0705 0.9295 0.8851
Na3 Na 0.3483 0.6517 0.7500
Na4 Na 0.6517 0.3483 0.2500
Na5 Na 0.9295 0.0705 0.1149
Na6 Na 0.9295 0.0705 0.3851
Cd1 Cd 0.2166 0.7834 0.1002
Cd2 Cd 0.2166 0.7834 0.3998
Cd3 Cd 0.7834 0.2166 0.6002
Cd4 Cd 0.7834 0.2166 0.8998
Sn1 Sn 0.3662 0.6338 0.2500
Sn2 Sn 0.3927 0.6073 0.5383
Sn3 Sn 0.3927 0.6073 0.9617
Sn4 Sn 0.6073 0.3927 0.0383
Sn5 Sn 0.6073 0.3927 0.4617
Sn6 Sn 0.6338 0.3662 0.7500
```

Magnetic moment, μB/cell: 0.0
Energy relative to the elements, kJ per mole of atoms: -13
DOS(E_F), states/eV/atom: 0.401
Calculated total energy, eV per atom: -2.356

***

# 4
Compound: NaCd4Sn2
Source: Alexandria
Functional: PBE
Structure: relaxed

Geometry as CIF:
```
data_NaCd4Sn2
_cell_length_a 8.9352
_cell_length_b 8.9352
_cell_length_c 4.6220
_cell_angle_alpha 90.00
_cell_angle_beta 90.00
_cell_angle_gamma 149.70
_symmetry_space_group_name_H-M 'P 1'
_symmetry_Int_Tables_number 1
loop_
_symmetry_equiv_pos_as_xyz
'x,y,z'
loop_
_atom_site_label
_atom_site_type_symbol
_atom_site_fract_x
_atom_site_fract_y
_atom_site_fract_z
Na1 Na 0.0000 0.0000 0.0000
Cd1 Cd 0.1862 0.8138 0.5000
Cd2 Cd 0.3089 0.6911 0.0000
Cd3 Cd 0.6911 0.3089 0.0000
Cd4 Cd 0.8138 0.1862 0.5000
Sn1 Sn 0.4164 0.5836 0.5000
Sn2 Sn 0.5836 0.4164 0.5000
```

Magnetic moment, μB/cell: 0.0
Energy relative to the elements, kJ per mole of atoms: -4
DOS(E_F), states/eV/atom: 0.318
Calculated total energy, eV per atom: -1.893